1.
## ScZn3Pt2 (PBE-GGA)

Data for a relaxed structure of ScZn3Pt2.

Summary:
The energy of formation from the pure elements is -0.626 eV per atom. Its symmetry is C2/m. Its density of states at the Fermi level is 2.2 states/eV/f.u. For the total energy, the calculation gives -51.99 eV for the cell shown.

a = 8.5801 Å, b = 8.5801 Å, c = 6.8031 Å
α = 111.16°, β = 111.16°, γ = 24.92°
With the nearest neighbours (Å) after each atom.
Fractional coordinates of all 12 atoms:
1 Sc 0.1100 0.1100 0.1216  6 Pt 2.80-2.98, 5 Zn 2.89-3.13
2 Sc 0.8900 0.8900 0.8784  6 Pt 2.80-2.98, 5 Zn 2.89-3.13
3 Zn 0.0765 0.0765 0.6368  5 Zn 2.55-2.79, 3 Pt 2.59-2.71
4 Zn 0.3082 0.3082 0.1029  4 Pt 2.63-2.76, 5 Zn 2.68-2.79
5 Zn 0.3622 0.3622 0.5325  4 Pt 2.55-2.62, 3 Zn 2.59-2.72
6 Zn 0.6378 0.6378 0.4675  4 Pt 2.55-2.62, 3 Zn 2.59-2.72
7 Zn 0.6918 0.6918 0.8971  4 Pt 2.63-2.76, 5 Zn 2.68-2.79
8 Zn 0.9235 0.9235 0.3632  5 Zn 2.55-2.79, 3 Pt 2.59-2.71
9 Pt 0.2445 0.2445 0.6864  7 Zn 2.55-2.71
10 Pt 0.4825 0.4825 0.1879  4 Zn 2.59-2.76, 2 Sc 2.80, 1 Pt 2.83
11 Pt 0.5175 0.5175 0.8121  4 Zn 2.59-2.76, 2 Sc 2.80, 1 Pt 2.83
12 Pt 0.7555 0.7555 0.3136  7 Zn 2.55-2.71

---

2.
## Sc6Zn5Pt (PBE-GGA)

Data for a relaxed structure of Sc6Zn5Pt.

Summary:
The energy of formation from the pure elements is -0.539 eV per atom. Its symmetry is P2/m. Its density of states at the Fermi level is 9.2 states/eV/f.u. For the total energy, the calculation gives -56.87 eV for the cell shown.

a = 4.7128 Å, b = 6.6968 Å, c = 7.4358 Å
α = 90.00°, β = 108.33°, γ = 90.00°
With the nearest neighbours (Å) after each atom.
Fractional coordinates of all 12 atoms:
1 Sc 0.0000 0.2453 0.0000  2 Pt 2.87, 6 Zn 2.91-2.93
2 Sc 0.0000 0.7547 0.0000  2 Pt 2.87, 6 Zn 2.91-2.93
3 Sc 0.3358 0.2484 0.6716  7 Zn 2.85-2.91, 1 Pt 2.85
4 Sc 0.3358 0.7516 0.6716  7 Zn 2.85-2.91, 1 Pt 2.85
5 Sc 0.6642 0.2484 0.3284  7 Zn 2.85-2.91, 1 Pt 2.85
6 Sc 0.6642 0.7516 0.3284  7 Zn 2.85-2.91, 1 Pt 2.85
7 Zn 0.1671 0.5000 0.3349  8 Sc 2.90-2.92
8 Zn 0.1722 0.0000 0.3435  8 Sc 2.85-2.93
9 Zn 0.5000 0.5000 0.0000  8 Sc 2.87-2.91
10 Zn 0.8278 0.0000 0.6565  8 Sc 2.85-2.93
11 Zn 0.8329 0.5000 0.6651  8 Sc 2.90-2.92
12 Pt 0.5000 0.0000 0.0000  8 Sc 2.85-2.87

---

3.
## ScZn2Pt (PBE-GGA)

Data for a relaxed structure of ScZn2Pt.

Summary:
The energy of formation from the pure elements is -0.482 eV per atom. Its symmetry is Pmmm. Its density of states at the Fermi level is 2.5 states/eV/f.u. For the total energy, the calculation gives -16.85 eV for the cell shown.

a = 2.9702 Å, b = 3.7975 Å, c = 5.8203 Å
α = 90.00°, β = 90.00°, γ = 90.00°
With the nearest neighbours (Å) after each atom.
Fractional coordinates of all 4 atoms:
1 Sc 0.0000 0.0000 0.0000  8 Zn 2.89, 2 Pt 2.91, 2 Sc 2.97
2 Zn 0.5000 0.5000 0.2752  1 Zn 2.62, 4 Pt 2.74, 4 Sc 2.89
3 Zn 0.5000 0.5000 0.7248  1 Zn 2.62, 4 Pt 2.74, 4 Sc 2.89
4 Pt 0.0000 0.0000 0.5000  8 Zn 2.74, 2 Sc 2.91, 2 Pt 2.97

---

4.
## ScZnPt2 (PBE-GGA)

Data for a relaxed structure of ScZnPt2.

Summary:
The energy of formation from the pure elements is -0.487 eV per atom. Its symmetry is I-42d. Its density of states at the Fermi level is 2.7 states/eV/f.u. For the total energy, the calculation gives -86.54 eV for the cell shown.

a = 4.0563 Å, b = 4.0563 Å, c = 17.5308 Å
α = 90.00°, β = 90.00°, γ = 90.00°
With the nearest neighbours (Å) after each atom.
Fractional coordinates of all 16 atoms:
1 Sc 0.0000 0.0000 0.0000  4 Pt 2.64, 4 Zn 2.87
2 Sc 0.0000 0.5000 0.2500  4 Pt 2.64, 4 Zn 2.87
3 Sc 0.5000 0.0000 0.7500  4 Pt 2.64, 4 Zn 2.87
4 Sc 0.5000 0.5000 0.5000  4 Pt 2.64, 4 Zn 2.87
5 Zn 0.0000 0.0000 0.5000  4 Pt 2.60, 4 Sc 2.87
6 Zn 0.0000 0.5000 0.7500  4 Pt 2.60, 4 Sc 2.87
7 Zn 0.5000 0.0000 0.2500  4 Pt 2.60, 4 Sc 2.87
8 Zn 0.5000 0.5000 0.0000  4 Pt 2.60, 4 Sc 2.87
9 Pt 0.2370 0.2500 0.6250  2 Zn 2.60, 2 Sc 2.64, 2 Pt 2.79
10 Pt 0.2500 0.7370 0.8750  2 Zn 2.60, 2 Sc 2.64, 2 Pt 2.79
11 Pt 0.2500 0.7630 0.3750  2 Zn 2.60, 2 Sc 2.64, 2 Pt 2.79
12 Pt 0.2630 0.2500 0.1250  2 Zn 2.60, 2 Sc 2.64, 2 Pt 2.79
13 Pt 0.7370 0.7500 0.1250  2 Zn 2.60, 2 Sc 2.64, 2 Pt 2.79
14 Pt 0.7500 0.2370 0.3750  2 Zn 2.60, 2 Sc 2.64, 2 Pt 2.79
15 Pt 0.7500 0.2630 0.8750  2 Zn 2.60, 2 Sc 2.64, 2 Pt 2.79
16 Pt 0.7630 0.7500 0.6250  2 Zn 2.60, 2 Sc 2.64, 2 Pt 2.79

---

5.
## Sc4Zn3Pt (PBE-GGA)

Data for a relaxed structure of Sc4Zn3Pt.

Summary:
The energy of formation from the pure elements is -0.614 eV per atom. Its symmetry is Pmmm. Its density of states at the Fermi level is 6.3 states/eV/f.u. For the total energy, the calculation gives -40.10 eV for the cell shown.

a = 3.3755 Å, b = 4.6834 Å, c = 9.3642 Å
α = 90.00°, β = 90.00°, γ = 90.00°
With the nearest neighbours (Å) after each atom.
Fractional coordinates of all 8 atoms:
1 Sc 0.0000 0.0000 0.0000  4 Pt 2.89, 4 Zn 2.92
2 Sc 0.0000 0.0000 0.5000  8 Zn 2.85-2.89
3 Sc 0.0000 0.5000 0.2425  2 Pt 2.83, 6 Zn 2.89-2.94
4 Sc 0.0000 0.5000 0.7575  2 Pt 2.83, 6 Zn 2.89-2.94
5 Zn 0.5000 0.0000 0.2551  8 Sc 2.85-2.92
6 Zn 0.5000 0.0000 0.7449  8 Sc 2.85-2.92
7 Zn 0.5000 0.5000 0.5000  8 Sc 2.89-2.94
8 Pt 0.5000 0.5000 0.0000  8 Sc 2.83-2.89

---

6.
## ScZn3Pt (PBE-GGA)

Data for a relaxed structure of ScZn3Pt.

Summary:
The energy of formation from the pure elements is -0.543 eV per atom. Its symmetry is P2_1/m. The value obtained for the energy above the lowest structure with this stoichiometry is 0.027 eV/atom. Its density of states at the Fermi level is 1.6 states/eV/f.u. For the total energy, the calculation gives -37.82 eV for the cell shown.

a = 5.2836 Å, b = 5.1737 Å, c = 5.9940 Å
α = 90.00°, β = 91.70°, γ = 90.00°
With the nearest neighbours (Å) after each atom.
Fractional coordinates of all 10 atoms:
1 Sc 0.1436 0.2500 0.1796  3 Pt 2.83-3.03, 8 Zn 2.89-3.12
2 Sc 0.8564 0.7500 0.8204  3 Pt 2.83-3.03, 8 Zn 2.89-3.12
3 Zn 0.3441 0.0043 0.6691  5 Zn 2.54-2.65, 2 Pt 2.60-2.61
4 Zn 0.3441 0.4957 0.6691  5 Zn 2.54-2.65, 2 Pt 2.60-2.61
5 Zn 0.3745 0.7500 0.0357  1 Pt 2.52, 4 Zn 2.56-2.61
6 Zn 0.6255 0.2500 0.9643  1 Pt 2.52, 4 Zn 2.56-2.61
7 Zn 0.6559 0.5043 0.3309  5 Zn 2.54-2.65, 2 Pt 2.60-2.61
8 Zn 0.6559 0.9957 0.3309  5 Zn 2.54-2.65, 2 Pt 2.60-2.61
9 Pt 0.0843 0.7500 0.3628  5 Zn 2.52-2.61
10 Pt 0.9157 0.2500 0.6372  5 Zn 2.52-2.61

---

7.
## ScZn2Pt (PBE-GGA)

Data for a relaxed structure of ScZn2Pt.

Summary:
The energy of formation from the pure elements is -0.705 eV per atom. Its symmetry is Pmmn. Its density of states at the Fermi level is 1.8 states/eV/f.u. For the total energy, the calculation gives -35.48 eV for the cell shown.

a = 4.5940 Å, b = 5.8753 Å, c = 4.7561 Å
α = 90.00°, β = 90.00°, γ = 90.00°
With the nearest neighbours (Å) after each atom.
Fractional coordinates of all 8 atoms:
1 Sc 0.2500 0.2500 0.1437  8 Zn 2.76-2.90, 4 Pt 2.77-2.94
2 Sc 0.7500 0.7500 0.8563  8 Zn 2.76-2.90, 4 Pt 2.77-2.94
3 Zn 0.2500 0.5113 0.6614  4 Pt 2.68-2.86, 4 Sc 2.76-2.90, 3 Zn 2.77-2.80
4 Zn 0.2500 0.9887 0.6614  4 Pt 2.68-2.86, 4 Sc 2.76-2.90, 3 Zn 2.77-2.80
5 Zn 0.7500 0.0113 0.3386  4 Pt 2.68-2.86, 4 Sc 2.76-2.90, 3 Zn 2.77-2.80
6 Zn 0.7500 0.4887 0.3386  4 Pt 2.68-2.86, 4 Sc 2.76-2.90, 3 Zn 2.77-2.80
7 Pt 0.2500 0.7500 0.1821  8 Zn 2.68-2.86, 4 Sc 2.77-2.94
8 Pt 0.7500 0.2500 0.8179  8 Zn 2.68-2.86, 4 Sc 2.77-2.94

---

8.
## ZrScZn2Pt2 (PBE-GGA)

Data for a relaxed structure of ZrScZn2Pt2.

Summary:
The energy of formation from the pure elements is -0.802 eV per atom. Its symmetry is P-3m1. Its density of states at the Fermi level is 4.1 states/eV/f.u. For the total energy, the calculation gives -34.32 eV for the cell shown.

a = 4.4421 Å, b = 4.4421 Å, c = 6.0436 Å
α = 90.00°, β = 90.00°, γ = 120.00°
With the nearest neighbours (Å) after each atom.
Fractional coordinates of all 6 atoms:
1 Zr 0.0000 0.0000 0.0000  6 Pt 2.97, 6 Zn 3.00, 2 Sc 3.02
2 Sc 0.0000 0.0000 0.5000  6 Zn 2.95, 6 Pt 2.99, 2 Zr 3.02
3 Zn 0.3333 0.6667 0.7428  3 Pt 2.57
4 Zn 0.6667 0.3333 0.2572  3 Pt 2.57
5 Pt 0.3333 0.6667 0.2465  3 Zn 2.57
6 Pt 0.6667 0.3333 0.7535  3 Zn 2.57

---

9.
## ZrScZn2Pt (PBE-GGA)

Data for a relaxed structure of ZrScZn2Pt.

Summary:
The energy of formation from the pure elements is 1.158 eV per atom. Its symmetry is P4/mmm. Its density of states at the Fermi level is 4.2 states/eV/f.u. For the total energy, the calculation gives -17.68 eV for the cell shown.

a = 4.9740 Å, b = 4.9740 Å, c = 4.8976 Å
α = 90.00°, β = 90.00°, γ = 90.00°
With the nearest neighbours (Å) after each atom.
Fractional coordinates of all 5 atoms:
1 Zr 0.0000 0.0000 0.0000  2 Sc 2.45, 4 Zn 2.49
2 Sc 0.0000 0.0000 0.5000  2 Zr 2.45
3 Zn 0.0000 0.5000 0.0000  2 Zr 2.49
4 Zn 0.5000 0.0000 0.0000  2 Zr 2.49
5 Pt 0.5000 0.5000 0.5000  8 Zn 3.49, 4 Sc 3.52

---

10.
## Zr4ScPt (PBE-GGA)

Data for a relaxed structure of Zr4ScPt.

Summary:
The energy of formation from the pure elements is 0.120 eV per atom. Its symmetry is F-43m. Its density of states at the Fermi level is 7.3 states/eV/f.u. For the total energy, the calculation gives -45.85 eV for the cell shown.

a = 5.7007 Å, b = 5.7007 Å, c = 5.7007 Å
α = 60.00°, β = 60.00°, γ = 60.00°
With the nearest neighbours (Å) after each atom.
Fractional coordinates of all 6 atoms:
1 Zr 0.1253 0.1253 0.1253  6 Zr 2.84-2.86
2 Zr 0.1253 0.1253 0.6241  6 Zr 2.84-2.86
3 Zr 0.1253 0.6241 0.1253  6 Zr 2.84-2.86
4 Zr 0.6241 0.1253 0.1253  6 Zr 2.84-2.86
5 Sc 0.5000 0.5000 0.5000  12 Zr 3.34, 4 Pt 3.49
6 Pt 0.7500 0.7500 0.7500  12 Zr 3.34, 4 Sc 3.49

---

11.
## ZrSc2Pt (PBE-GGA)

Data for a relaxed structure of ZrSc2Pt.

Summary:
The energy of formation from the pure elements is -0.641 eV per atom. Its symmetry is Cmcm. The value obtained for the energy above the lowest structure with this stoichiometry is 0.000 eV/atom. Its density of states at the Fermi level is 5.4 states/eV/f.u. For the total energy, the calculation gives -119.26 eV for the cell shown.

a = 3.3890 Å, b = 11.5476 Å, c = 8.7067 Å
α = 90.00°, β = 90.00°, γ = 90.00°
With the nearest neighbours (Å) after each atom.
Fractional coordinates of all 16 atoms:
1 Zr 0.0000 0.0543 0.2500  2 Pt 2.88, 4 Sc 3.21
2 Zr 0.0000 0.9457 0.7500  2 Pt 2.88, 4 Sc 3.21
3 Zr 0.5000 0.4457 0.7500  2 Pt 2.88, 4 Sc 3.21
4 Zr 0.5000 0.5543 0.2500  2 Pt 2.88, 4 Sc 3.21
5 Sc 0.0000 0.3688 0.0568  3 Pt 2.72-3.03
6 Sc 0.0000 0.3688 0.4432  3 Pt 2.72-3.03
7 Sc 0.0000 0.6312 0.5568  3 Pt 2.72-3.03
8 Sc 0.0000 0.6312 0.9432  3 Pt 2.72-3.03
9 Sc 0.5000 0.1312 0.5568  3 Pt 2.72-3.03
10 Sc 0.5000 0.1312 0.9432  3 Pt 2.72-3.03
11 Sc 0.5000 0.8688 0.0568  3 Pt 2.72-3.03
12 Sc 0.5000 0.8688 0.4432  3 Pt 2.72-3.03
13 Pt 0.0000 0.2443 0.7500  6 Sc 2.72-3.03, 2 Zr 2.88
14 Pt 0.0000 0.7557 0.2500  6 Sc 2.72-3.03, 2 Zr 2.88
15 Pt 0.5000 0.2557 0.2500  6 Sc 2.72-3.03, 2 Zr 2.88
16 Pt 0.5000 0.7443 0.7500  6 Sc 2.72-3.03, 2 Zr 2.88

---

12.
## ZrSc2Pt3 (PBE-GGA)

Data for a relaxed structure of ZrSc2Pt3.

Summary:
The energy of formation from the pure elements is -1.131 eV per atom. Its symmetry is Pmmn. Its density of states at the Fermi level is 3.6 states/eV/f.u. For the total energy, the calculation gives -92.24 eV for the cell shown.

a = 4.7760 Å, b = 14.3500 Å, c = 3.2039 Å
α = 90.00°, β = 90.00°, γ = 90.00°
With the nearest neighbours (Å) after each atom.
Fractional coordinates of all 12 atoms:
1 Zr 0.2500 0.2500 0.0003  8 Pt 2.87-2.91, 2 Zr 3.20
2 Zr 0.7500 0.7500 0.9997  8 Pt 2.87-2.91, 2 Zr 3.20
3 Sc 0.2500 0.5826 0.9999  8 Pt 2.84-2.89
4 Sc 0.2500 0.9174 0.9999  8 Pt 2.84-2.89
5 Sc 0.7500 0.0826 0.0001  8 Pt 2.84-2.89
6 Sc 0.7500 0.4174 0.0001  8 Pt 2.84-2.89
7 Pt 0.2500 0.0812 0.4986  6 Sc 2.84-2.88, 2 Zr 2.90-2.91
8 Pt 0.2500 0.4188 0.4986  6 Sc 2.84-2.88, 2 Zr 2.90-2.91
9 Pt 0.2500 0.7500 0.4978  4 Zr 2.87-2.88, 4 Sc 2.88-2.89, 2 Pt 3.20
10 Pt 0.7500 0.2500 0.5022  4 Zr 2.87-2.88, 4 Sc 2.88-2.89, 2 Pt 3.20
11 Pt 0.7500 0.5812 0.5014  6 Sc 2.84-2.88, 2 Zr 2.90-2.91
12 Pt 0.7500 0.9188 0.5014  6 Sc 2.84-2.88, 2 Zr 2.90-2.91